No. 1
A plane-wave DFT calculation with PBE was carried out for an optimized crystal structure of Zn6PdPt.

```
data_Zn6PdPt
_chemical_formula_sum 'Zn24 Pd4 Pt4'
_symmetry_space_group_name_H-M 'F m m m'
_symmetry_Int_Tables_number 69
_symmetry_space_group_name_Hall '-F 2 2'
_cell_length_a 5.8322
_cell_length_b 7.4425
_cell_length_c 10.8407
_cell_angle_alpha 90.00
_cell_angle_beta 90.00
_cell_angle_gamma 90.00
loop_
_atom_site_label
_atom_site_type_symbol
_atom_site_fract_x
_atom_site_fract_y
_atom_site_fract_z
Zn1 Zn 0.0000 0.0000 0.2493
Zn2 Zn 0.2500 0.2500 0.1238
Pd1 Pd 0.0000 0.0000 0.5000
Pt1 Pt 0.0000 0.0000 0.0000
```

Values from the calculation:
- formation enthalpy at 0 K (eV/atom) = -0.31
- D(E_F) (states/eV/atom) = 0.243


No. 2
A plane-wave DFT calculation with PBE was carried out for an optimized crystal structure of Tb3Tc4C4.

```
data_Tb3Tc4C4
_chemical_formula_sum 'Tb6 Tc8 C8'
_symmetry_space_group_name_H-M 'A m m 2'
_symmetry_Int_Tables_number 38
_cell_length_a 9.1347
_cell_length_b 3.1384
_cell_length_c 11.1518
_cell_angle_alpha 90.00
_cell_angle_beta 90.00
_cell_angle_gamma 90.00
loop_
_symmetry_equiv_pos_as_xyz
'x,y,z'
'-x,-y,z'
'-x,y,z'
'x,-y,z'
'x,y+1/2,z+1/2'
'-x,-y+1/2,z+1/2'
'-x,y+1/2,z+1/2'
'x,-y+1/2,z+1/2'
loop_
_atom_site_label
_atom_site_type_symbol
_atom_site_fract_x
_atom_site_fract_y
_atom_site_fract_z
Tb1 Tb 0.0000 0.0000 0.0000
Tb2 Tb 0.3356 0.0000 0.0562
Tc1 Tc 0.0000 0.0000 0.2724
Tc2 Tc 0.2528 0.0000 0.7906
Tc3 Tc 0.5000 0.0000 0.3160
C1 C 0.0000 0.0000 0.6673
C2 C 0.1851 0.0000 0.3979
C3 C 0.5000 0.0000 0.6978
```

Values from the calculation:
- formation enthalpy at 0 K (eV/atom) = 0.05
- D(E_F) (states/eV/atom) = 0.623


Question: What is the formation enthalpy at 0 K in the first record?
Answer: -0.31 eV/atom